A relaxed structure of MnSiIN2, computed with PBE.

Values from the calculation:
Space group: P4/mmm

a b c (Å): 3.788 3.788 5.448
angles (deg): 90.00 90.00 90.00
Sites, in units of the cell vectors:
Mn 0.000 0.000 0.000
Si 0.500 0.500 0.500
I 0.000 0.000 0.500
N 0.000 0.500 0.000
N 0.500 0.000 0.000

***

A relaxed structure of MnSiI2N, computed with PBE.

Values from the calculation:
Space group: P4/mmm

a b c (Å): 5.760 5.760 3.398
angles (deg): 90.00 90.00 90.00
Sites, in units of the cell vectors:
Mn 0.000 0.000 0.000
Si 0.500 0.500 0.500
I 0.000 0.500 0.500
I 0.500 0.000 0.500
N 0.500 0.500 0.000

***

A relaxed structure of MnSiI2N, computed with PBE.

Values from the calculation:
Space group: P4/mmm

a b c (Å): 5.124 5.124 4.373
angles (deg): 90.00 90.00 90.00
Sites, in units of the cell vectors:
Mn 0.000 0.000 0.000
Si 0.000 0.000 0.500
I 0.000 0.500 0.000
I 0.500 0.000 0.000
N 0.500 0.500 0.500

***

Table of formation energy from raw total energies (meV per atom), in record order: 1145.8, 467.2, 1684.0
Table of DOS(E_F) (states/eV per cell), in record order: 3.8, 1.3, 7.8